10
Lattice="-4.6505 -0.6676 0.0994 0.6424 -4.5903 -0.7738 0.5227 -1.8990 11.6992" Properties=species:S:1:pos:R:3 comment="Sr2TlZn3In4 | Alexandria via LeMat-Bulk | PBE | relaxed" delta_e_f_ev_per_atom=-0.2440 sg=P-4m2 crystal_system=tetragonal rho_g_cm3=6.6 vol_a3_per_cell=262.0 pbc="T T T"
In -1.9872 -1.5621 7.6168
In 0.5058 -2.9659 3.7452
In -2.0040 -2.6290 -0.3372
In 0.0000 0.0000 0.0000
Zn 0.3899 -2.5446 1.1496
Zn -1.8712 -1.9834 10.2123
Zn 0.2613 -0.9495 5.8496
Sr 0.7166 -3.7317 8.4632
Sr -2.1980 -0.7963 2.8988
Tl -1.7427 -3.5785 5.5124

4
Lattice="-2.6290 -0.7955 -2.0170 1.9660 -3.6231 -1.1336 -2.7764 -3.2435 5.5511" Properties=species:S:1:pos:R:3 comment="CeMg | Alexandria via LeMat-Bulk | PBE | relaxed" delta_e_f_ev_per_atom=-0.0023 sg=P2_1/m crystal_system=monoclinic rho_g_cm3=5.4 vol_a3_per_cell=101.9 pbc="T T T"
Ce -2.7773 -2.8753 0.3421
Ce -0.6621 -4.7868 2.0583
Mg -3.8963 -4.3680 3.1724
Mg 0.4569 -3.2940 -0.7719

12
Lattice="5.4027 0.0000 0.0000 -2.7013 4.6789 0.0000 0.0000 0.0000 7.9366" Properties=species:S:1:pos:R:3 comment="U2VSi3 | Alexandria via LeMat-Bulk | PBE | relaxed" e_form_raw_ev_per_atom=-0.402 sg=P6_3/mmc crystal_system=hexagonal rho_g_cm3=10.1 vol_a3_per_cell=200.6 pbc="T T T"
U 2.7013 1.5596 0.7262
U 0.0000 3.1192 4.6945
U 0.0000 3.1192 7.2104
U 2.7013 1.5596 3.2421
V 0.0000 0.0000 3.9683
V 0.0000 0.0000 0.0000
Si -1.2941 3.8664 1.9842
Si 1.4073 0.8125 5.9525
Si 2.7013 3.0539 5.9525
Si 3.9954 0.8125 5.9525
Si 1.2941 3.8664 1.9842
Si 0.0000 1.6250 1.9842

12
Lattice="-3.3018 -0.1946 -3.0976 3.3035 -9.2953 0.3773 -5.5805 3.0487 5.7568" Properties=species:S:1:pos:R:3 comment="PmSc3Sn2 | Alexandria via LeMat-Bulk | PBE | relaxed" delta_e_f_ev_per_atom=-0.4935 sg=C2/m crystal_system=monoclinic rho_g_cm3=5.5 vol_a3_per_cell=314.1 pbc="T T T"
Sc -1.8073 -4.2098 2.1909
Sc -5.6055 -0.3376 2.6817
Sc -3.3308 -6.5316 0.6461
Sc 0.0268 -6.1036 0.3549
Sc -3.7714 -2.2314 0.8456
Sc -2.2479 0.0904 2.3904
Sn -2.6750 0.2068 -0.4762
Sn -3.5321 -2.1638 3.9009
Sn -2.9037 -6.6480 3.5128
Sn -2.0466 -4.2774 -0.8643
Pm -5.5086 -4.5318 2.8419
Pm -0.0701 -1.9095 0.1947

18
Lattice="0.7832 8.7391 -0.3591 2.5091 -4.0563 -7.3732 -8.4489 -2.1263 1.1000" Properties=species:S:1:pos:R:3 comment="Ca6PtAu2 | Alexandria via LeMat-Bulk | PBE | relaxed" delta_e_f_ev_per_atom=-0.5806 sg=Immm crystal_system=orthorhombic rho_g_cm3=5.3 vol_a3_per_cell=518.7 pbc="T T T"
Ca 1.1161 4.5355 -5.5268
Ca -5.8349 -3.4023 -4.5448
Ca -0.4042 2.3732 -1.9562
Ca -2.9114 -0.3593 -1.4572
Ca -2.2451 2.9157 -5.1752
Ca -6.2727 -1.9790 -1.1056
Ca 0.6784 5.9587 -2.0876
Ca -2.2504 5.2011 -0.1688
Ca -2.9061 -2.6446 -6.4636
Ca -4.7524 0.1833 -4.6762
Ca -4.1167 3.2585 -2.1399
Ca -1.0398 -0.7020 -4.4925
Au -2.4685 2.1295 0.2386
Au -6.0055 1.0449 -1.9242
Au -5.1971 4.4833 0.5023
Au 0.8490 1.5116 -4.7081
Pt -2.1866 5.6478 -3.4958
Pt 0.0000 0.0000 0.0000

8
Lattice="-0.0798 -3.9842 -0.5823 5.7365 0.4611 -3.9414 1.8173 -1.0041 6.6219" Properties=species:S:1:pos:R:3 comment="PmDy2PaP4 | Alexandria via LeMat-Bulk | PBE | relaxed" delta_e_f_ev_per_atom=-1.5298 sg=P2/m crystal_system=monoclinic rho_g_cm3=7.5 vol_a3_per_cell=183.8 pbc="T T T"
Pm 0.0000 0.0000 0.0000
P 1.9042 -2.1250 0.3517
P 5.5698 -2.4022 1.7465
P 2.8385 -0.6361 3.9636
P 4.7153 0.0931 -1.2831
Dy 3.7769 -0.2715 1.3402
Dy 0.8688 -2.4942 3.0198
Pa 2.8283 -1.7615 -2.2618